Entry 1:
Below is crystalline MoPt2Au at its relaxed geometry, with properties calculated at the PBE level.

Lattice parameters (Å, degrees): 2.826 4.084 5.583 90.00 90.00 90.00
Fractional coordinates of all 4 atoms:
Mo 0.000 0.000 0.000
Pt 0.000 0.000 0.482
Pt 0.500 0.500 0.219
Au 0.500 0.500 0.733


Entry 2:
Below is crystalline Nd3Ge3Ir2 at its relaxed geometry, with properties calculated at the PBE level.

Lattice parameters (Å, degrees): 8.167 14.588 5.953 90.00 90.00 90.00
Fractional coordinates of all 32 atoms:
Nd 0.040 0.111 0.126
Nd 0.040 0.389 0.126
Nd 0.186 0.250 0.634
Nd 0.314 0.750 0.134
Nd 0.460 0.611 0.626
Nd 0.460 0.889 0.626
Nd 0.540 0.111 0.374
Nd 0.540 0.389 0.374
Nd 0.686 0.250 0.866
Nd 0.814 0.750 0.366
Nd 0.960 0.611 0.874
Nd 0.960 0.889 0.874
Ge 0.165 0.750 0.604
Ge 0.190 0.040 0.623
Ge 0.190 0.460 0.623
Ge 0.310 0.540 0.123
Ge 0.310 0.960 0.123
Ge 0.335 0.250 0.104
Ge 0.665 0.750 0.896
Ge 0.690 0.040 0.877
Ge 0.690 0.460 0.877
Ge 0.810 0.540 0.377
Ge 0.810 0.960 0.377
Ge 0.835 0.250 0.396
Ir 0.094 0.597 0.383
Ir 0.094 0.903 0.383
Ir 0.406 0.097 0.883
Ir 0.406 0.403 0.883
Ir 0.594 0.597 0.117
Ir 0.594 0.903 0.117
Ir 0.906 0.097 0.617
Ir 0.906 0.403 0.617


no.,DFT formation energy (eV/f.u.)
1,-0.19
2,-6.54